No. 1
The following is a DFT calculation (PBE) of a geometry-optimized BaPmHg2O4 structure.

```
BaPmHg2O4
1.0
-0.694 3.362 -5.513
-5.034 2.414 -1.720
0.094 5.834 -0.280
Ba Pm Hg O
1 1 2 4
Direct
0.000 0.000 0.000 Ba
0.500 0.500 0.500 Pm
0.209 0.291 0.291 Hg
0.791 0.709 0.709 Hg
0.513 0.096 0.519 O
0.128 0.904 0.481 O
0.872 0.519 0.096 O
0.487 0.481 0.904 O
```

Theoretical density, Mg/m³: 8.20
Calculated total energy, eV/atom: -5.038
Formation energy without anion corrections, meV per atom: -1649

No. 2
The following is a DFT calculation (PBE) of a geometry-optimized Ba3PmHg2O6 structure.

```
Ba3PmHg2O6
1.0
-0.150 -5.725 -2.911
5.545 3.204 0.500
1.273 -3.164 6.156
Ba Pm Hg O
3 1 2 6
Direct
0.333 0.667 0.608 Ba
0.667 0.333 0.392 Ba
0.000 0.000 0.000 Ba
0.000 0.000 0.500 Pm
0.667 0.333 0.875 Hg
0.333 0.667 0.125 Hg
0.669 0.834 0.306 O
0.166 0.331 0.306 O
0.166 0.834 0.306 O
0.834 0.669 0.694 O
0.331 0.166 0.694 O
0.834 0.166 0.694 O
```

Theoretical density, Mg/m³: 6.96
Calculated total energy, eV/atom: -5.256
Formation energy without anion corrections, meV per atom: -1850

No. 3
The following is a DFT calculation (PBE) of a geometry-optimized BaPm2HgO5 structure.

```
BaPm2HgO5
1.0
6.825 0.000 0.000
0.000 6.825 0.000
-3.412 -3.412 6.290
Ba Pm Hg O
2 4 2 10
Direct
0.250 0.250 0.500 Ba
0.750 0.750 0.500 Ba
0.173 0.327 0.000 Pm
0.673 0.173 0.000 Pm
0.327 0.827 0.000 Pm
0.827 0.673 0.000 Pm
0.250 0.750 0.500 Hg
0.750 0.250 0.500 Hg
0.968 0.468 0.237 O
0.731 0.231 0.763 O
0.032 0.532 0.763 O
0.231 0.032 0.763 O
0.532 0.731 0.763 O
0.769 0.968 0.237 O
0.468 0.269 0.237 O
0.269 0.769 0.237 O
0.500 0.500 0.000 O
0.000 0.000 0.000 O
```

Theoretical density, Mg/m³: 8.02
Calculated total energy, eV/atom: -6.484
Formation energy without anion corrections, meV per atom: -2427

No. 4
The following is a DFT calculation (PBE) of a geometry-optimized BaPr2HgO5 structure.

```
BaPr2HgO5
1.0
6.391 0.000 0.000
0.000 6.915 0.000
0.000 0.000 6.915
Ba Pr Hg O
2 4 2 10
Direct
0.000 0.500 0.500 Ba
0.000 0.000 0.000 Ba
0.500 0.672 0.172 Pr
0.500 0.172 0.328 Pr
0.500 0.828 0.672 Pr
0.500 0.328 0.828 Pr
0.000 0.000 0.500 Hg
0.000 0.500 0.000 Hg
0.500 0.500 0.500 O
0.500 0.000 0.000 O
0.261 0.151 0.651 O
0.261 0.849 0.349 O
0.261 0.349 0.151 O
0.261 0.651 0.849 O
0.739 0.151 0.651 O
0.739 0.651 0.849 O
0.739 0.849 0.349 O
0.739 0.349 0.151 O
```

Theoretical density, Mg/m³: 7.60
Calculated total energy, eV/atom: -6.415
Formation energy without anion corrections, meV per atom: -2351

No. 5
The following is a DFT calculation (PBE) of a geometry-optimized Ba2Hg2PtO6 structure.

```
Ba2Hg2PtO6
1.0
-1.843 6.371 -0.171
-4.227 -4.975 1.187
1.765 0.314 5.715
Ba Hg Pt O
2 2 1 6
Direct
0.343 0.657 0.500 Ba
0.657 0.343 0.500 Ba
0.871 0.129 0.000 Hg
0.129 0.871 0.000 Hg
0.000 0.000 0.500 Pt
0.758 0.758 0.700 O
0.005 0.269 0.697 O
0.242 0.242 0.300 O
0.269 0.005 0.697 O
0.995 0.731 0.303 O
0.731 0.995 0.303 O
```

Theoretical density, Mg/m³: 7.33
Calculated total energy, eV/atom: -4.905
Formation energy without anion corrections, meV per atom: -1247

No. 6
The following is a DFT calculation (PBE) of a geometry-optimized BaPuHgO5 structure.

```
BaPuHgO5
1.0
-2.936 5.851 0.216
0.579 -1.773 6.279
7.753 1.059 -3.164
Ba Pu Hg O
2 2 2 10
Direct
0.322 0.678 0.250 Ba
0.678 0.322 0.750 Ba
0.000 0.000 0.500 Pu
0.000 0.000 0.000 Pu
0.750 0.250 0.250 Hg
0.250 0.750 0.750 Hg
0.046 0.954 0.250 O
0.954 0.046 0.750 O
0.887 0.306 0.071 O
0.113 0.694 0.929 O
0.694 0.113 0.429 O
0.306 0.887 0.571 O
0.780 0.692 0.386 O
0.220 0.308 0.614 O
0.308 0.220 0.114 O
0.692 0.780 0.886 O
```

Theoretical density, Mg/m³: 7.29
Calculated total energy, eV/atom: -7.294
Formation energy without anion corrections, meV per atom: -2126

No. 7
The following is a DFT calculation (PBE) of a geometry-optimized Ba3Pu2HgO9 structure.

```
Ba3Pu2HgO9
1.0
-5.954 1.726 0.136
2.741 -1.254 -5.419
-2.110 -7.327 0.629
Ba Pu Hg O
3 2 1 9
Direct
0.333 0.667 0.645 Ba
0.000 0.000 0.000 Ba
0.667 0.333 0.355 Ba
0.333 0.667 0.161 Pu
0.667 0.333 0.839 Pu
0.000 0.000 0.500 Hg
0.824 0.176 0.680 O
0.824 0.647 0.680 O
0.353 0.176 0.680 O
0.647 0.824 0.320 O
0.176 0.353 0.320 O
0.176 0.824 0.320 O
0.500 0.000 0.000 O
0.000 0.500 0.000 O
0.500 0.500 0.000 O
```

Theoretical density, Mg/m³: 8.11
Calculated total energy, eV/atom: -7.789
Formation energy without anion corrections, meV per atom: -2499

No. 8
The following is a DFT calculation (PBE) of a geometry-optimized Ba3PuHg2O8 structure.

```
Ba3PuHg2O8
1.0
-5.954 -0.371 1.040
3.363 -5.033 -0.170
1.372 0.644 8.090
Ba Pu Hg O
3 1 2 8
Direct
0.333 0.667 0.630 Ba
0.667 0.333 0.370 Ba
0.000 0.000 0.000 Ba
0.000 0.000 0.500 Pu
0.333 0.667 0.174 Hg
0.667 0.333 0.826 Hg
0.333 0.667 0.926 O
0.667 0.333 0.074 O
0.160 0.840 0.353 O
0.840 0.160 0.647 O
0.160 0.320 0.353 O
0.840 0.680 0.647 O
0.680 0.840 0.353 O
0.320 0.160 0.647 O
```

Theoretical density, Mg/m³: 7.53
Calculated total energy, eV/atom: -6.236
Formation energy without anion corrections, meV per atom: -1924

No. 9
The following is a DFT calculation (PBE) of a geometry-optimized BaRe2HgO8 structure.

```
BaRe2HgO8
1.0
6.850 0.000 0.000
-3.425 5.932 0.000
0.000 0.000 8.652
Ba Re Hg O
1 2 1 8
Direct
0.000 0.000 0.000 Ba
0.667 0.333 0.109 Re
0.333 0.667 0.891 Re
0.000 0.000 0.500 Hg
0.333 0.667 0.091 O
0.384 0.192 0.172 O
0.808 0.192 0.172 O
0.667 0.333 0.909 O
0.192 0.808 0.828 O
0.616 0.808 0.828 O
0.192 0.384 0.828 O
0.808 0.616 0.172 O
```

Theoretical density, Mg/m³: 3.96
Calculated total energy, eV/atom: -7.353
Formation energy without anion corrections, meV per atom: -1788

No. 10
The following is a DFT calculation (PBE) of a geometry-optimized Ba2ReHg2O4 structure.

```
Ba2ReHg2O4
1.0
6.197 -0.125 -0.198
-2.604 5.625 0.198
-2.604 -2.222 5.171
Ba Re Hg O
2 1 2 4
Direct
0.500 0.750 0.250 Ba
0.500 0.250 0.750 Ba
0.000 0.000 0.000 Re
0.000 0.662 0.662 Hg
0.000 0.338 0.338 Hg
0.000 0.790 0.210 O
0.579 0.790 0.790 O
0.000 0.210 0.790 O
0.421 0.210 0.210 O
```

Theoretical density, Mg/m³: 8.67
Calculated total energy, eV/atom: -5.436
Formation energy without anion corrections, meV per atom: -1355

No. 11
The following is a DFT calculation (PBE) of a geometry-optimized BaRe2HgO structure.

```
BaRe2HgO
1.0
-1.855 2.130 -4.406
3.574 -2.007 -2.474
-2.948 -4.248 -0.813
Re Hg O Ba
2 1 1 1
Direct
0.000 0.000 0.500 Re
0.500 0.000 0.000 Re
0.000 0.000 0.000 Hg
0.000 0.500 0.000 O
0.500 0.500 0.500 Ba
```

Theoretical density, Mg/m³: 9.20
Calculated total energy, eV/atom: -4.528
Formation energy without anion corrections, meV per atom: 1887

No. 12
The following is a DFT calculation (PBE) of a geometry-optimized BaReHgO6 structure.

```
BaReHgO6
1.0
-3.213 -4.223 2.262
1.684 -5.801 -0.389
2.460 0.826 4.675
Ba Re Hg O
1 1 1 6
Direct
0.037 0.015 0.015 Ba
0.353 0.341 0.463 Re
0.689 0.702 0.565 Hg
0.005 0.385 0.346 O
0.337 0.034 0.664 O
0.617 0.287 0.681 O
0.096 0.568 0.739 O
0.337 0.593 0.298 O
0.528 0.076 0.229 O
```

Theoretical density, Mg/m³: 6.48
Calculated total energy, eV/atom: -6.389
Formation energy without anion corrections, meV per atom: -1453

Please write out number 6 again, unchanged.
The following is a DFT calculation (PBE) of a geometry-optimized BaPuHgO5 structure.

```
BaPuHgO5
1.0
-2.936 5.851 0.216
0.579 -1.773 6.279
7.753 1.059 -3.164
Ba Pu Hg O
2 2 2 10
Direct
0.322 0.678 0.250 Ba
0.678 0.322 0.750 Ba
0.000 0.000 0.500 Pu
0.000 0.000 0.000 Pu
0.750 0.250 0.250 Hg
0.250 0.750 0.750 Hg
0.046 0.954 0.250 O
0.954 0.046 0.750 O
0.887 0.306 0.071 O
0.113 0.694 0.929 O
0.694 0.113 0.429 O
0.306 0.887 0.571 O
0.780 0.692 0.386 O
0.220 0.308 0.614 O
0.308 0.220 0.114 O
0.692 0.780 0.886 O
```

Theoretical density, Mg/m³: 7.29
Calculated total energy, eV/atom: -7.294
Formation energy without anion corrections, meV per atom: -2126

Number 11 is which compound? BaRe2HgO

Look up the calculated total energy of the tenth one. -5.436 eV/atom

Please write out number 4 again, unchanged.
The following is a DFT calculation (PBE) of a geometry-optimized BaPr2HgO5 structure.

```
BaPr2HgO5
1.0
6.391 0.000 0.000
0.000 6.915 0.000
0.000 0.000 6.915
Ba Pr Hg O
2 4 2 10
Direct
0.000 0.500 0.500 Ba
0.000 0.000 0.000 Ba
0.500 0.672 0.172 Pr
0.500 0.172 0.328 Pr
0.500 0.828 0.672 Pr
0.500 0.328 0.828 Pr
0.000 0.000 0.500 Hg
0.000 0.500 0.000 Hg
0.500 0.500 0.500 O
0.500 0.000 0.000 O
0.261 0.151 0.651 O
0.261 0.849 0.349 O
0.261 0.349 0.151 O
0.261 0.651 0.849 O
0.739 0.151 0.651 O
0.739 0.651 0.849 O
0.739 0.849 0.349 O
0.739 0.349 0.151 O
```

Theoretical density, Mg/m³: 7.60
Calculated total energy, eV/atom: -6.415
Formation energy without anion corrections, meV per atom: -2351